Material: SrSeS2N
Method: DFT, PBE
State: relaxed

Summary:
Fermi-level density of states: 1.79 states/eV/cell
formation energy (no corrections): -0.02 eV per atom
electronic total energy: -4.37 eV/atom

a b c (Å): 5.0604 5.0604 3.9086
angles (deg): 90.00 90.00 90.00
Space group P4/mmm (No. 123)
Asymmetric unit:
Sr: 0.0000 0.0000 0.0000
Se: 0.5000 0.5000 0.5000
S: 0.0000 0.5000 0.5000
N: 0.5000 0.5000 0.0000

Material: Mg2Al2Pt
Method: DFT, PBE
State: relaxed

Summary:
Fermi-level density of states: 3.24 states/eV/cell
electronic total energy: -3.72 eV/atom
E_form: -0.3816 eV per atom

a b c (Å): 6.5411 6.5411 4.3248
angles (deg): 90.00 90.00 90.00
Space group P4/mbm (No. 127)
Asymmetric unit:
Mg: 0.1682 0.3318 0.0000
Al: 0.1399 0.6399 0.5000
Pt: 0.0000 0.0000 0.5000

Material: InSn2Se2
Method: DFT, PBE
State: relaxed

Summary:
Fermi-level density of states: 4.56 states/eV/cell
formation energy (no corrections): -0.02 eV per atom
electronic total energy: -3.57 eV/atom

a b c (Å): 4.4168 4.4168 14.7168
angles (deg): 90.00 90.00 90.00
Space group I4/mmm (No. 139)
Asymmetric unit:
In: 0.0000 0.0000 0.0000
Sn: 0.0000 0.5000 0.2500
Se: 0.0000 0.0000 0.4102

Material: GdScCuHg
Method: DFT, PBE
State: relaxed

Summary:
Fermi-level density of states: 16.47 states/eV/cell
electronic total energy: -6.49 eV/atom
E_form: -0.2855 eV per atom

a b c (Å): 7.0826 7.0826 7.0826
angles (deg): 90.00 90.00 90.00
Space group F-43m (No. 216)
Asymmetric unit:
Gd: 0.0000 0.0000 0.0000
Sc: 0.0000 0.0000 0.5000
Cu: 0.2500 0.2500 0.2500
Hg: 0.2500 0.2500 0.7500

Material: YBe2BiAu
Method: DFT, PBE
State: relaxed

Summary:
Fermi-level density of states: 1.92 states/eV/cell
electronic total energy: -4.05 eV/atom
E_form: 0.1695 eV per atom

a b c (Å): 4.4228 4.4228 5.8932
angles (deg): 90.00 90.00 90.00
Space group P4/mmm (No. 123)
Asymmetric unit:
Y: 0.0000 0.0000 0.0000
Be: 0.0000 0.5000 0.5000
Bi: 0.5000 0.5000 0.0000
Au: 0.5000 0.5000 0.5000

Material: B2C3
Method: DFT, PBE
State: relaxed

Summary:
Fermi-level density of states: 0.46 states/eV/cell
electronic total energy: -7.90 eV/atom
E_form: 0.3007 eV per atom

a b c (Å): 8.1894 3.6067 5.8563
angles (deg): 90.00 129.96 90.00
Space group C2/c (No. 15)
Asymmetric unit:
B: 0.1860 0.0887 0.3005
C: 0.0000 0.1435 0.7500
C: 0.0907 0.3942 0.0262

Repeat the first record exactly.
Material: SrSeS2N
Method: DFT, PBE
State: relaxed

Summary:
Fermi-level density of states: 1.79 states/eV/cell
formation energy (no corrections): -0.02 eV per atom
electronic total energy: -4.37 eV/atom

a b c (Å): 5.0604 5.0604 3.9086
angles (deg): 90.00 90.00 90.00
Space group P4/mmm (No. 123)
Asymmetric unit:
Sr: 0.0000 0.0000 0.0000
Se: 0.5000 0.5000 0.5000
S: 0.0000 0.5000 0.5000
N: 0.5000 0.5000 0.0000

- Which value of Fermi-level density of states does entry 2 give?
  3.24 states/eV/cell

Repeat the fifth record exactly.
Material: YBe2BiAu
Method: DFT, PBE
State: relaxed

Summary:
Fermi-level density of states: 1.92 states/eV/cell
electronic total energy: -4.05 eV/atom
E_form: 0.1695 eV per atom

a b c (Å): 4.4228 4.4228 5.8932
angles (deg): 90.00 90.00 90.00
Space group P4/mmm (No. 123)
Asymmetric unit:
Y: 0.0000 0.0000 0.0000
Be: 0.0000 0.5000 0.5000
Bi: 0.5000 0.5000 0.0000
Au: 0.5000 0.5000 0.5000